P) {"formula": "MgAlFeAs", "functional": "PBE", "state": "optimized geometry", "cell": [[0.000, 3.187, 3.187], [3.187, 0.000, 3.187], [3.187, 3.187, 0.000]], "species": ["Mg", "Al", "Fe", "As"], "fractional_positions": [[0.000, 0.000, 0.000], [0.500, 0.500, 0.500], [0.250, 0.250, 0.250], [0.750, 0.750, 0.750]], "vol_a3_per_cell": 65, "m_tot_mub_per_fu": 1.98, "space_group": "No. 216"}



Q) {"formula": "MgAlFeAs", "functional": "PBE", "state": "optimized geometry", "cell": [[0.000, 3.090, 3.090], [3.090, 0.000, 3.090], [3.090, 3.090, 0.000]], "species": ["Mg", "Al", "Fe", "As"], "fractional_positions": [[0.000, 0.000, 0.000], [0.250, 0.250, 0.250], [0.500, 0.500, 0.500], [0.750, 0.750, 0.750]], "vol_a3_per_cell": 59, "m_tot_mub_per_fu": 0.00, "space_group": "No. 216"}



Last place for stability: P)



P) {"formula": "HoAlAsO", "functional": "PBE", "state": "optimized geometry", "cell": [[4.021, 0.000, 0.000], [0.000, 4.021, 0.000], [0.000, 0.000, 8.694]], "species": ["Ho", "Ho", "Al", "Al", "As", "As", "O", "O"], "fractional_positions": [[0.250, 0.250, 0.117], [0.750, 0.750, 0.883], [0.250, 0.750, 0.500], [0.750, 0.250, 0.500], [0.250, 0.250, 0.680], [0.750, 0.750, 0.320], [0.250, 0.750, 0.000], [0.750, 0.250, 0.000]], "vol_a3_per_cell": 141, "m_tot_mub_per_fu": 0.00, "space_group": "No. 129"}



Q) {"formula": "HoAlAsO", "functional": "PBE", "state": "optimized geometry", "cell": [[4.037, 0.000, 0.000], [0.000, 6.616, 0.000], [0.000, 0.000, 5.710]], "species": ["Ho", "Ho", "Al", "Al", "As", "As", "O", "O"], "fractional_positions": [[0.000, 0.186, 0.000], [0.000, 0.814, 0.500], [0.500, 0.410, 0.644], [0.500, 0.590, 0.144], [0.000, 0.242, 0.494], [0.000, 0.758, 0.994], [0.500, 0.352, 0.970], [0.500, 0.648, 0.470]], "vol_a3_per_cell": 153, "m_tot_mub_per_fu": 0.03, "space_group": "No. 26"}



Last place for stability: Q)



P) {"formula": "HoAlAsO", "functional": "PBE", "state": "optimized geometry", "cell": [[3.937, 0.000, 0.000], [0.000, 4.801, 0.000], [0.000, 0.000, 6.801]], "species": ["Ho", "Ho", "Al", "Al", "As", "As", "O", "O"], "fractional_positions": [[0.000, 0.187, 0.000], [0.000, 0.813, 0.500], [0.500, 0.346, 0.342], [0.500, 0.654, 0.842], [0.500, 0.157, 0.688], [0.500, 0.843, 0.188], [0.000, 0.356, 0.336], [0.000, 0.644, 0.836]], "vol_a3_per_cell": 129, "m_tot_mub_per_fu": 0.00, "space_group": "No. 26"}



Q) {"formula": "HoAlAsO", "functional": "PBE", "state": "optimized geometry", "cell": [[4.032, 0.000, 0.000], [0.000, 4.032, 0.000], [0.000, 0.000, 9.790]], "species": ["Ho", "Ho", "Al", "Al", "As", "As", "O", "O"], "fractional_positions": [[0.250, 0.750, 0.000], [0.750, 0.250, 0.000], [0.250, 0.250, 0.445], [0.750, 0.750, 0.555], [0.250, 0.250, 0.201], [0.750, 0.750, 0.799], [0.250, 0.750, 0.500], [0.750, 0.250, 0.500]], "vol_a3_per_cell": 159, "m_tot_mub_per_fu": 0.02, "space_group": "No. 129"}



Last place for stability: Q)



P) {"formula": "LiAlAsIr", "functional": "PBE", "state": "optimized geometry", "cell": [[0.000, 3.058, 3.058], [3.058, 0.000, 3.058], [3.058, 3.058, 0.000]], "species": ["Li", "Al", "As", "Ir"], "fractional_positions": [[0.000, 0.000, 0.000], [0.250, 0.250, 0.250], [0.750, 0.750, 0.750], [0.500, 0.500, 0.500]], "vol_a3_per_cell": 57, "m_tot_mub_per_fu": 0.00, "space_group": "No. 216"}



Q) {"formula": "LiAlAsIr", "functional": "PBE", "state": "optimized geometry", "cell": [[0.000, 3.077, 3.077], [3.077, 0.000, 3.077], [3.077, 3.077, 0.000]], "species": ["Li", "Al", "As", "Ir"], "fractional_positions": [[0.000, 0.000, 0.000], [0.500, 0.500, 0.500], [0.750, 0.750, 0.750], [0.250, 0.250, 0.250]], "vol_a3_per_cell": 58, "m_tot_mub_per_fu": 0.00, "space_group": "No. 216"}



Last place for stability: Q)



P) {"formula": "NaAlAsIr", "functional": "PBE", "state": "optimized geometry", "cell": [[0.000, 3.207, 3.207], [3.207, 0.000, 3.207], [3.207, 3.207, 0.000]], "species": ["Na", "Al", "As", "Ir"], "fractional_positions": [[0.000, 0.000, 0.000], [0.750, 0.750, 0.750], [0.500, 0.500, 0.500], [0.250, 0.250, 0.250]], "vol_a3_per_cell": 66, "m_tot_mub_per_fu": 0.00, "space_group": "No. 216"}



Q) {"formula": "NaAlAsIr", "functional": "PBE", "state": "optimized geometry", "cell": [[0.000, 3.197, 3.197], [3.197, 0.000, 3.197], [3.197, 3.197, 0.000]], "species": ["Na", "Al", "As", "Ir"], "fractional_positions": [[0.000, 0.000, 0.000], [0.500, 0.500, 0.500], [0.750, 0.750, 0.750], [0.250, 0.250, 0.250]], "vol_a3_per_cell": 65, "m_tot_mub_per_fu": 0.00, "space_group": "No. 216"}



R) {"formula": "NaAlAsIr", "functional": "PBE", "state": "optimized geometry", "cell": [[0.000, 3.157, 3.157], [3.157, 0.000, 3.157], [3.157, 3.157, 0.000]], "species": ["Na", "Al", "As", "Ir"], "fractional_positions": [[0.000, 0.000, 0.000], [0.250, 0.250, 0.250], [0.750, 0.750, 0.750], [0.500, 0.500, 0.500]], "vol_a3_per_cell": 63, "m_tot_mub_per_fu": 0.00, "space_group": "No. 216"}



Last place for stability: P)



P) {"formula": "MgAlAsOs", "functional": "PBE", "state": "optimized geometry", "cell": [[0.000, 3.184, 3.184], [3.184, 0.000, 3.184], [3.184, 3.184, 0.000]], "species": ["Mg", "Al", "As", "Os"], "fractional_positions": [[0.000, 0.000, 0.000], [0.500, 0.500, 0.500], [0.750, 0.750, 0.750], [0.250, 0.250, 0.250]], "vol_a3_per_cell": 65, "m_tot_mub_per_fu": 0.00, "space_group": "No. 216"}



Q) {"formula": "MgAlAsOs", "functional": "PBE", "state": "optimized geometry", "cell": [[0.000, 3.147, 3.147], [3.147, 0.000, 3.147], [3.147, 3.147, 0.000]], "species": ["Mg", "Al", "As", "Os"], "fractional_positions": [[0.000, 0.000, 0.000], [0.250, 0.250, 0.250], [0.750, 0.750, 0.750], [0.500, 0.500, 0.500]], "vol_a3_per_cell": 62, "m_tot_mub_per_fu": 0.00, "space_group": "No. 216"}



Last place for stability: P)



P) {"formula": "AlMo2As2", "functional": "PBE", "state": "optimized geometry", "cell": [[-1.827, 1.827, 6.345], [1.827, -1.827, 6.345], [1.827, 1.827, -6.345]], "species": ["Al", "Mo", "Mo", "As", "As"], "fractional_positions": [[0.000, 0.000, 0.000], [0.393, 0.393, 0.000], [0.607, 0.607, 0.000], [0.250, 0.750, 0.500], [0.750, 0.250, 0.500]], "vol_a3_per_cell": 85, "m_tot_mub_per_fu": 0.00, "space_group": "No. 139"}



Q) {"formula": "AlMo2As2", "functional": "PBE", "state": "optimized geometry", "cell": [[-2.251, 2.251, 4.496], [2.251, -2.251, 4.496], [2.251, 2.251, -4.496]], "species": ["Al", "Mo", "Mo", "As", "As"], "fractional_positions": [[0.000, 0.000, 0.000], [0.250, 0.750, 0.500], [0.750, 0.250, 0.500], [0.367, 0.367, 0.000], [0.633, 0.633, 0.000]], "vol_a3_per_cell": 91, "m_tot_mub_per_fu": 0.02, "space_group": "No. 139"}



Last place for stability: P)



P) {"formula": "NbAlAsO", "functional": "PBE", "state": "optimized geometry", "cell": [[3.467, 0.000, 0.000], [0.000, 6.299, 0.000], [0.000, 0.000, 5.601]], "species": ["Nb", "Nb", "Al", "Al", "As", "As", "O", "O"], "fractional_positions": [[0.000, 0.003, 0.000], [0.000, 0.997, 0.500], [0.500, 0.353, 0.718], [0.500, 0.647, 0.218], [0.500, 0.251, 0.248], [0.500, 0.749, 0.748], [0.000, 0.286, 0.751], [0.000, 0.714, 0.251]], "vol_a3_per_cell": 122, "m_tot_mub_per_fu": 0.00, "space_group": "No. 26"}



Q) {"formula": "NbAlAsO", "functional": "PBE", "state": "optimized geometry", "cell": [[3.777, 0.000, 0.000], [0.000, 3.777, 0.000], [0.000, 0.000, 9.752]], "species": ["Nb", "Nb", "Al", "Al", "As", "As", "O", "O"], "fractional_positions": [[0.250, 0.750, 0.000], [0.750, 0.250, 0.000], [0.250, 0.250, 0.433], [0.750, 0.750, 0.567], [0.250, 0.250, 0.190], [0.750, 0.750, 0.810], [0.250, 0.750, 0.500], [0.750, 0.250, 0.500]], "vol_a3_per_cell": 139, "m_tot_mub_per_fu": 0.02, "space_group": "No. 129"}



Last place for stability: P)